# 1
Density functional theory data (PBE) for AlCdSn after structural relaxation.

## Properties
Energy above the most stable polymorph in this dataset ... 9.8 meV per atom
Energy relative to the elements ... 0.124 eV per atom

abc: 4.7405 4.7405 4.7405
angles: 60.00 60.00 60.00
Closest atoms and distances in Å follow each position.
Atoms (fractional coordinates):
Al1 0.0000 0.0000 0.0000  4 Cd 2.90, 4 Sn 2.90
Cd1 0.7500 0.7500 0.7500  4 Al 2.90
Sn1 0.2500 0.2500 0.2500  4 Al 2.90


# 2
Density functional theory data (PBE) for Sr2AlCd3Sn4 after structural relaxation.

## Properties
Energy relative to the elements ... -0.291 eV per atom

abc: 4.8843 4.8843 11.9768
angles: 90.00 90.00 90.00
Closest atoms and distances in Å follow each position.
Atoms (fractional coordinates):
Sr1 0.0000 0.5000 0.2472  6 Cd 3.71-3.84, 8 Sn 3.73-3.89, 2 Al 3.84
Sr2 0.5000 0.0000 0.7528  6 Cd 3.71-3.84, 8 Sn 3.73-3.89, 2 Al 3.84
Al1 0.5000 0.5000 0.0000  4 Sn 2.89
Cd1 0.0000 0.0000 0.0000  4 Sn 2.89
Cd2 0.0000 0.5000 0.6391  5 Sn 2.78-2.96
Cd3 0.5000 0.0000 0.3609  5 Sn 2.78-2.96
Sn1 0.0000 0.0000 0.5000  4 Cd 2.96
Sn2 0.0000 0.5000 0.8714  3 Cd 2.78-2.89, 2 Al 2.89
Sn3 0.5000 0.0000 0.1286  3 Cd 2.78-2.89, 2 Al 2.89
Sn4 0.5000 0.5000 0.5000  4 Cd 2.96


| no. | calculated total energy (eV per atom) |
| --- | --- |
| 1 | -2.763 |
| 2 | -2.877 |